w.
! Ba2AgPd (PBE, relaxed); values from VASP
&SYSTEM
  ibrav = 0, nat = 8, ntyp = 3
/
ATOMIC_SPECIES
Ba 137.33 Ba.upf
Pd 106.42 Pd.upf
Ag 107.87 Ag.upf
ATOMIC_POSITIONS angstrom
Ba 1.8455 1.2090 7.8691
Ba 3.3445 1.2090 3.7111
Ba 0.0338 3.6271 4.7931
Ba 1.5328 3.6271 0.6351
Pd -0.0376 1.2090 2.4138
Pd 3.4159 3.6271 6.0904
Ag -1.5781 1.2090 6.6651
Ag 4.9564 3.6271 1.8391
CELL_PARAMETERS angstrom
6.5781 0.0000 0.0000
0.0000 4.8361 0.0000
-3.1998 0.0000 8.5042
! calculated density = 6.0 g cm⁻³
! crystal system = monoclinic

***

x.
! Ba2AgPd (PBE, relaxed); values from VASP
&SYSTEM
  ibrav = 0, nat = 4, ntyp = 3
/
ATOMIC_SPECIES
Ba 137.33 Ba.upf
Pd 106.42 Pd.upf
Ag 107.87 Ag.upf
ATOMIC_POSITIONS angstrom
Ba 0.0000 0.0000 0.0000
Ba -0.8546 -2.1769 -2.3279
Pd -2.5639 -6.5307 -6.9838
Ag -1.7092 -4.3538 -4.6559
CELL_PARAMETERS angstrom
-0.6796 -5.2323 -1.0941
-3.9411 -1.5678 -3.3235
1.2022 -1.9074 -4.8941
! calculated density = 7.3 g cm⁻³
! crystal system = cubic

***

Which is the most stable structure? w is the most stable.

***

w.
! BaAgSb2Pd (PBE, relaxed); values from VASP
&SYSTEM
  ibrav = 0, nat = 10, ntyp = 4
/
ATOMIC_SPECIES
Sb 121.76 Sb.upf
Pd 106.42 Pd.upf
Ba 137.33 Ba.upf
Ag 107.87 Ag.upf
ATOMIC_POSITIONS angstrom
Sb 0.0000 2.4255 1.2573
Sb 0.0000 0.0000 5.6253
Sb 2.4255 0.0000 9.9934
Sb 2.4255 2.4255 5.6253
Pd 0.0000 0.0000 0.0000
Pd 2.4255 2.4255 0.0000
Ba 2.4255 0.0000 2.6770
Ba 0.0000 2.4255 8.5737
Ag 0.0000 2.4255 4.0445
Ag 2.4255 0.0000 7.2062
CELL_PARAMETERS angstrom
4.8510 0.0000 0.0000
0.0000 4.8510 0.0000
0.0000 0.0000 11.2507
! calculated density = 7.5 g cm⁻³
! crystal system = tetragonal

***

x.
! BaAgSb2Pd (PBE, relaxed); values from VASP
&SYSTEM
  ibrav = 0, nat = 10, ntyp = 4
/
ATOMIC_SPECIES
Sb 121.76 Sb.upf
Pd 106.42 Pd.upf
Ba 137.33 Ba.upf
Ag 107.87 Ag.upf
ATOMIC_POSITIONS angstrom
Sb 5.6938 1.6980 7.9095
Sb 2.9413 2.2724 4.1744
Sb -1.1135 0.5543 2.6051
Sb 1.6389 -0.0202 6.3401
Pd 4.2692 0.5973 5.8876
Pd 0.3111 1.6549 4.6269
Ba 2.1234 -1.0605 2.8423
Ba 2.4569 3.3127 7.6723
Ag -1.3024 -2.2926 2.1657
Ag 0.0000 0.0000 0.0000
CELL_PARAMETERS angstrom
-3.8952 -0.1802 2.8427
1.2903 -4.4050 1.4888
5.8827 4.5449 8.3488
! calculated density = 7.6 g cm⁻³
! crystal system = tetragonal

***

Which is the most stable structure? x is the most stable.